(1)
## LaZnFe2As (GGA-PBE)

Data for a geometry-optimized LaZnFe2As structure.

a = 4.4152 Å, b = 4.4152 Å, c = 5.6527 Å
α = 90.00°, β = 90.00°, γ = 90.00°
Element x y z (fractional)
1 La 0.0000 0.0000 0.0000
2 Zn 0.5000 0.5000 0.0000
3 Fe 0.0000 0.5000 0.5000
4 Fe 0.5000 0.0000 0.5000
5 As 0.0000 0.0000 0.5000

Values from the calculation:
- DOS at the Fermi energy (states/eV/atom) = 2.325
- space-group type = No. 123
- final energy (eV per atom) = -4.955
- E_form (eV/f.u.) = 3.00
- calculated volume (Å³ per atom) = 22.04



(2)
## Na2TiSiO5 (GGA-PBE)

Data for a geometry-optimized Na2TiSiO5 structure.

a = 6.5337 Å, b = 6.5337 Å, c = 5.1738 Å
α = 90.00°, β = 90.00°, γ = 90.00°
Element x y z (fractional)
1 Na 0.0000 0.0000 0.0000
2 Na 0.0000 0.5000 0.0000
3 Na 0.5000 0.0000 0.0000
4 Na 0.5000 0.5000 0.0000
5 Ti 0.2500 0.2500 0.4363
6 Ti 0.7500 0.7500 0.5637
7 Si 0.2500 0.7500 0.5000
8 Si 0.7500 0.2500 0.5000
9 O 0.0427 0.7500 0.6823
10 O 0.2500 0.2500 0.7689
11 O 0.2500 0.5427 0.3177
12 O 0.2500 0.9573 0.3177
13 O 0.4573 0.7500 0.6823
14 O 0.5427 0.2500 0.3177
15 O 0.7500 0.0427 0.6823
16 O 0.7500 0.4573 0.6823
17 O 0.7500 0.7500 0.2311
18 O 0.9573 0.2500 0.3177

Values from the calculation:
- DOS at the Fermi energy (states/eV/atom) = 0.000
- space-group type = No. 129
- uncorrected formation energy (eV per atom) = -2.61
- final energy (eV per atom) = -7.140
- calculated volume (Å³ per atom) = 12.27



(3)
## Mg2Cd2Pb (GGA-PBE)

Data for a geometry-optimized Mg2Cd2Pb structure.

a = 4.8147 Å, b = 4.8147 Å, c = 6.2257 Å
α = 90.00°, β = 90.00°, γ = 115.36°
Element x y z (fractional)
1 Mg 0.0000 0.0000 0.2449
2 Mg 0.0000 0.0000 0.7551
3 Cd 0.3262 0.6738 0.0000
4 Cd 0.6738 0.3262 0.0000
5 Pb 0.5000 0.5000 0.5000

Values from the calculation:
- DOS at the Fermi energy (states/eV/atom) = 0.393
- space-group type = No. 65
- final energy (eV per atom) = -1.707
- E_form (eV/f.u.) = 0.20
- calculated volume (Å³ per atom) = 26.08